[1]
# CrMo2N, optimized geometry, DFT GGA-PBE
data_CrMo2N
_symmetry_space_group_name_H-M 'I -4 2 d'
_symmetry_Int_Tables_number 122
_symmetry_space_group_name_Hall 'I -4 2bw'
_cell_length_a 7.138
_cell_length_b 7.138
_cell_length_c 4.096
_cell_angle_alpha 90.00
_cell_angle_beta 90.00
_cell_angle_gamma 90.00
loop_
_atom_site_label
_atom_site_type_symbol
_atom_site_fract_x
_atom_site_fract_y
_atom_site_fract_z
_atom_site_occupancy
Cr1 Cr 0.000 0.000 0.000 1
Mo1 Mo 0.131 0.250 0.625 1
N1 N 0.000 0.000 0.500 1
# Raw formation energy (kJ/mol of formula units): 44

---

[2]
# Sr2RePb, optimized geometry, DFT GGA-PBE
data_Sr2RePb
_symmetry_space_group_name_H-M 'I -4 2 d'
_symmetry_Int_Tables_number 122
_symmetry_space_group_name_Hall 'I -4 2bw'
_cell_length_a 11.097
_cell_length_b 11.097
_cell_length_c 5.350
_cell_angle_alpha 90.00
_cell_angle_beta 90.00
_cell_angle_gamma 90.00
loop_
_atom_site_label
_atom_site_type_symbol
_atom_site_fract_x
_atom_site_fract_y
_atom_site_fract_z
_atom_site_occupancy
Sr1 Sr 0.085 0.250 0.125 1
Re1 Re 0.000 0.000 0.000 1
Pb1 Pb 0.000 0.000 0.500 1
# DFT formation energy (eV per atom): 0.6748

---

| no. | energy (eV/cell) | spin magnetization (Bohr magnetons per cell) |
| --- | --- | --- |
| 1 | -156.62 | 0.00 |
| 2 | -67.28 | 3.65 |